No. 1
A plane-wave DFT calculation with GGA-PBE was carried out for crystalline Ti2PdPt3 at its relaxed geometry.

```
Ti2PdPt3
1.0
4.0071 0.0000 0.0000
0.0000 11.9678 0.0000
0.0000 0.0000 3.8592
Ti Pd Pt
4 2 6
Cartesian
0.0000 1.9265 0.0000 Ti
0.0000 10.0413 0.0000 Ti
2.0035 4.0574 0.0000 Ti
2.0035 7.9104 0.0000 Ti
0.0000 5.9839 0.0000 Pd
2.0035 0.0000 0.0000 Pd
0.0000 0.0000 1.9296 Pt
0.0000 3.9500 1.9296 Pt
0.0000 8.0178 1.9296 Pt
2.0035 2.0339 1.9296 Pt
2.0035 5.9839 1.9296 Pt
2.0035 9.9339 1.9296 Pt
```

raw total energy = -7.341 eV per atom
space-group type = Cmmm (65)
ΔE to the lowest computed polymorph = 0.0 meV per atom
volume = 92.5 Å³/f.u.
calculated formation energy = -4.94 eV per formula unit

---

No. 2
A plane-wave DFT calculation with GGA-PBE was carried out for crystalline Rb2LiCrS4 at its relaxed geometry.

```
Rb2LiCrS4
1.0
0.0000 6.6620 11.9336
2.8629 0.0000 11.9336
2.8629 6.6620 0.0000
Rb Li Cr S
4 2 2 8
Cartesian
2.1472 4.9965 1.2552 Rb
3.5786 8.3275 7.2220 Rb
2.1472 4.9965 16.6451 Rb
3.5786 8.3275 22.6119 Rb
0.7157 1.6655 2.9834 Li
5.0101 11.6585 20.8837 Li
2.1472 4.9965 8.9502 Cr
3.5786 8.3275 14.9170 Cr
3.3888 3.7596 7.7296 S
3.3888 6.2335 10.1707 S
4.8203 7.0906 16.1375 S
4.8203 9.5645 13.6964 S
0.9055 3.7596 10.1707 S
0.9055 6.2335 7.7296 S
2.3370 7.0906 13.6964 S
2.3370 9.5645 16.1375 S
```

raw total energy = -4.722 eV per atom
space-group type = Fddd (70)
volume = 227.6 Å³/f.u.
uncorrected formation energy = -0.975 eV/atom

---

No. 3
A plane-wave DFT calculation with GGA-PBE was carried out for crystalline Pm3Pr8Nd at its relaxed geometry.

```
Pm3Pr8Nd
1.0
6.3935 0.0000 0.0000
1.0488 6.3327 0.0000
0.0138 3.2400 10.5997
Pm Pr Nd
3 8 1
Cartesian
0.0000 0.0000 0.0000 Pm
2.1289 3.9797 2.6487 Pm
5.3273 5.5931 7.9511 Pm
0.0107 1.0795 3.5254 Pr
2.1327 5.0554 6.1798 Pr
2.1322 6.1373 9.7223 Pr
3.1942 0.5401 1.7670 Pr
4.2620 9.0326 8.8328 Pr
5.3240 3.4354 0.8774 Pr
5.3235 4.5173 4.4199 Pr
7.4455 8.4933 7.0744 Pr
3.2037 1.6200 5.2999 Nd
```

raw total energy = -4.760 eV per atom
space-group type = P-1 (2)
volume = 429.2 Å³/f.u.
calculated formation energy = 0.13 eV per formula unit

---

No. 4
A plane-wave DFT calculation with GGA-PBE was carried out for crystalline SmMg3Cu at its relaxed geometry.

```
SmMg3Cu
1.0
4.9077 0.0000 0.0000
0.0000 4.9077 0.0000
0.0000 0.0000 4.9077
Sm Mg Cu
1 3 1
Cartesian
0.0000 0.0000 0.0000 Sm
0.0000 2.4539 2.4539 Mg
2.4539 0.0000 2.4539 Mg
2.4539 2.4539 0.0000 Mg
2.4539 2.4539 2.4539 Cu
```

raw total energy = -2.712 eV per atom
space-group type = Pm-3m (221)
ΔE to the lowest computed polymorph = 139.1 meV per atom
volume = 118.2 Å³/f.u.
calculated formation energy = 0.04 eV per formula unit